Density functional theory data (PBE-GGA) for crystalline Pr3Er4Ag at its relaxed geometry.

Calculated values
Energy of formation from the pure elements ... -0.06 eV/atom
Volume ... 247.60 Å³ per cell
VASP energy ... -4.49 eV per atom

Cell lengths 3.609, 3.609, 19.014 Å; angles 90.00, 90.00, 90.00 degrees
Element x y z (fractional)
Pr: 0.000 0.000 0.000
Pr: 0.000 0.000 0.268
Pr: 0.000 0.000 0.732
Er: 0.500 0.500 0.134
Er: 0.500 0.500 0.404
Er: 0.500 0.500 0.596
Er: 0.500 0.500 0.866
Ag: 0.000 0.000 0.500